(1)
MnAlRu2 after structural relaxation, computed with PBE.

Lattice parameters (Å, degrees): 8.4905 8.4905 8.4905 18.55 18.55 18.55
Closest atoms and distances in Å follow each position.
Element x y z (fractional)
Mn (0.0000, 0.0000, 0.0000)  6 Ru 2.58, 6 Mn 2.74
Al (0.5000, 0.5000, 0.5000)  6 Ru 2.65, 6 Al 2.74
Ru (0.2517, 0.2517, 0.2517)  3 Mn 2.58, 3 Al 2.65, 6 Ru 2.74
Ru (0.7483, 0.7483, 0.7483)  3 Mn 2.58, 3 Al 2.65, 6 Ru 2.74

Summary:
mass density	8.7	g/cm³
space-group type	No. 166

---

(2)
MnAlRu2 after structural relaxation, computed with PBE.

Lattice parameters (Å, degrees): 3.0001 4.1218 4.4830 90.00 90.00 90.00
Closest atoms and distances in Å follow each position.
Element x y z (fractional)
Mn (0.0000, 0.0000, 0.0000)  4 Ru 2.55, 4 Al 2.70
Al (0.5000, 0.0000, 0.5000)  4 Ru 2.55, 4 Mn 2.70
Ru (0.0000, 0.5000, 0.5000)  4 Al 2.55, 4 Ru 2.70
Ru (0.5000, 0.5000, 0.0000)  4 Mn 2.55, 4 Ru 2.70

Summary:
mass density	8.5	g/cm³
space-group type	No. 47

---

Electronic total energy values (in eV per atom) by entry order: -7.97, -7.95.